The following is a GGA-PBE calculation of crystalline Pm4Er2TmMg at its relaxed geometry, from Alexandria via LeMat-Bulk.

total magnetization = 0.00 Bohr magnetons per cell
raw total energy = -4.2651 eV/atom
Fermi-level density of states = 1.322 states/eV/atom
DFT formation energy = 0.07 eV/f.u.

a = 5.0507 Å, b = 5.0507 Å, c = 9.8540 Å
α = 90.00°, β = 90.00°, γ = 90.00°
Fractional coordinates of all 8 atoms:
Pm  0.0000  0.5000  0.2466
Pm  0.0000  0.5000  0.7534
Pm  0.5000  0.0000  0.2466
Pm  0.5000  0.0000  0.7534
Er  0.0000  0.0000  0.0000
Er  0.5000  0.5000  0.5000
Tm  0.0000  0.0000  0.5000
Mg  0.5000  0.5000  0.0000